Here is a relaxed CaLuPd2 crystal from the Alexandria database. Energies are from GGA-PBE.

Lattice parameters (Å, degrees): 3.4502 3.4502 7.1215 90.00 90.00 90.00
Closest atoms and distances in Å follow each position.
Sites, in units of the cell vectors:
Lu1 0.5000 0.5000 0.0000  8 Pd 2.91
Ca1 0.5000 0.5000 0.5000  8 Pd 3.14, 4 Ca 3.45
Pd1 0.0000 0.0000 0.7782  4 Lu 2.91, 4 Ca 3.14, 1 Pd 3.16
Pd2 0.0000 0.0000 0.2218  4 Lu 2.91, 4 Ca 3.14, 1 Pd 3.16

Results
Total energy in eV/atom: -5.09
Formation enthalpy at 0 K in meV/atom: -862
SG: P4/mmm
ΔE to the lowest computed polymorph in meV per atom: 0